Version a
Dy4MgCd2 | PBE | optimized geometry

a b c (Å): 7.405 7.405 7.464
angles (deg): 90.00 90.00 90.00
Space group I4/mmm (No. 139)
Asymmetric unit:
Dy 0.250 0.250 0.250 x8
Mg 0.000 0.000 0.000 x2
Cd 0.000 0.500 0.000 x4

Output
Volume: 409.3 Å³/cell
DOS at the Fermi energy: 1.18 states/eV per atom
Total magnetic moment: 0.0 μB/f.u.

---

Version b
Dy4MgCd2 | PBE | optimized geometry

a b c (Å): 5.3170 5.3170 26.0735
angles (deg): 90.00 90.00 120.00
Space group R-3m (No. 166, hexagonal axes)
Asymmetric unit:
Dy 0.0000 0.0000 0.1278 x6
Dy 0.0000 0.0000 0.2789 x6
Mg 0.0000 0.0000 0.5000 x3
Cd 0.0000 0.0000 0.3976 x6

Output
Volume: 638.4 Å³/cell
DOS at the Fermi energy: 1.73 states/eV per atom
Total magnetic moment: 0.0 μB/f.u.

---

version a wins, 0.144 eV/atom ahead of the next structure.

---

Version a
DyMg6Cd2 | PBE | optimized geometry

a b c (Å): 12.981 12.981 12.981
angles (deg): 90.00 90.00 90.00
Space group Fd-3m (No. 227, origin choice 2)
Asymmetric unit:
Dy 0.125 0.125 0.125 x8
Mg 0.123 0.375 0.375 x48
Cd 0.000 0.000 0.500 x16

Output
Volume: 2187.4 Å³/cell
DOS at the Fermi energy: 0.92 states/eV per atom
Total magnetic moment: 0.0 μB/f.u.

---

Version b
DyMg6Cd2 | PBE | optimized geometry

a b c (Å): 4.397 4.397 11.066
angles (deg): 90.00 90.00 90.00
Space group P4/mmm (No. 123)
Asymmetric unit:
Dy 0.000 0.000 0.000 x1
Mg 0.000 0.000 0.500 x1
Mg 0.000 0.500 0.289 x4
Mg 0.500 0.500 0.500 x1
Cd 0.500 0.500 0.123 x2

Output
Volume: 213.9 Å³/cell
DOS at the Fermi energy: 0.38 states/eV per atom
Total magnetic moment: 0.0 μB/f.u.

---

version b wins, 0.457 eV/atom ahead of the next structure.

---

Version a
Dy4Mg3Cd | PBE | optimized geometry

a b c (Å): 3.780 3.780 15.065
angles (deg): 90.00 90.00 90.00
Space group P4/mmm (No. 123)
Asymmetric unit:
Dy 0.000 0.000 0.123 x2
Dy 0.000 0.000 0.373 x2
Mg 0.500 0.500 0.250 x2
Mg 0.500 0.500 0.500 x1
Cd 0.500 0.500 0.000 x1

Output
Volume: 215.2 Å³/cell
DOS at the Fermi energy: 1.28 states/eV per atom
Total magnetic moment: 0.0 μB/f.u.

---

Version b
Dy4Mg3Cd | PBE | optimized geometry

a b c (Å): 3.399 5.068 12.621
angles (deg): 90.00 90.00 90.00
Space group Pmm2 (No. 25)
Asymmetric unit:
Dy 0.000 0.000 0.000 x1
Dy 0.000 0.500 0.337 x1
Dy 0.500 0.000 0.495 x1
Dy 0.500 0.500 0.843 x1
Mg 0.000 0.000 0.734 x1
Mg 0.000 0.500 0.603 x1
Mg 0.500 0.500 0.105 x1
Cd 0.500 0.000 0.235 x1

Output
Volume: 217.4 Å³/cell
DOS at the Fermi energy: 1.00 states/eV per atom
Total magnetic moment: 0.0 μB/f.u.

---

version a wins, 0.051 eV/atom ahead of the next structure.

---

Version a
Dy3Mg4Cd4 | PBE | optimized geometry

a b c (Å): 3.429 5.008 15.917
angles (deg): 99.00 96.14 90.02
Space group P-1 (No. 2)
Asymmetric unit:
Dy 0.000 0.000 0.000 x1
Dy 0.142 0.640 0.281 x2
Mg 0.264 0.264 0.528 x2
Mg 0.404 0.908 0.816 x2
Cd 0.315 0.817 0.633 x2
Cd 0.452 0.453 0.906 x2

Output
Volume: 268.4 Å³/cell
DOS at the Fermi energy: 0.66 states/eV per atom
Total magnetic moment: 0.0 μB/f.u.

---

Version b
Dy3Mg4Cd4 | PBE | optimized geometry

a b c (Å): 4.581 7.737 15.452
angles (deg): 90.00 90.00 90.00
Space group Immm (No. 71)
Asymmetric unit:
Dy 0.000 0.000 0.000 x2
Dy 0.000 0.500 0.118 x4
Mg 0.000 0.306 0.327 x8
Cd 0.000 0.000 0.222 x4
Cd 0.000 0.193 0.500 x4

Output
Volume: 547.7 Å³/cell
DOS at the Fermi energy: 0.86 states/eV per atom
Total magnetic moment: 0.0 μB/f.u.

---

version a wins, 0.045 eV/atom ahead of the next structure.